Record 1
LiTbZr: optimized geometry, GGA-PBE.

Unit cell a=7.0317 b=7.0317 c=7.0317 alpha=152.53 beta=152.53 gamma=39.25
With the nearest neighbours (Å) after each atom.
Sites, in units of the cell vectors:
Li 0.0000 0.0000 0.0000  4 Zr 3.13, 4 Li 3.34, 4 Tb 3.34
Tb 0.6786 0.6786 0.0000  4 Zr 3.23, 4 Tb 3.34, 4 Li 3.34
Zr 0.3450 0.3450 0.0000  4 Li 3.13, 4 Tb 3.23, 4 Zr 3.34

Symmetry: I4mm, No. 107
Total magnetization (μB/f.u.): 0.00
Formation energy (meV per atom): 148

Record 2
LiTbZr: optimized geometry, GGA-PBE.

Unit cell a=4.0348 b=4.0348 c=10.4251 alpha=90.00 beta=90.00 gamma=90.00
With the nearest neighbours (Å) after each atom.
Sites, in units of the cell vectors:
Li 0.2500 0.2500 0.0634  4 Li 3.14, 5 Tb 3.26-3.45
Li 0.7500 0.7500 0.9366  4 Li 3.14, 5 Tb 3.26-3.45
Tb 0.2500 0.2500 0.7504  5 Li 3.26-3.45, 4 Zr 3.30
Tb 0.7500 0.7500 0.2496  5 Li 3.26-3.45, 4 Zr 3.30
Zr 0.2500 0.7500 0.5000  4 Zr 2.85
Zr 0.7500 0.2500 0.5000  4 Zr 2.85

Symmetry: P4/nmm, No. 129
Total magnetization (μB/f.u.): 0.00
Formation energy (meV per atom): 402

Question: What is the total magnetization in the second record?
Answer: 0.00 μB/f.u.